Record 1
# CaAcPmPt2

CaAcPmPt2 after structural relaxation (GGA-PBE, the Alexandria database).

POSCAR file:
```
CaAcPmPt2
1.0
4.4418 0.0000 0.0000
2.2209 8.7518 -0.9068
2.2209 0.4608 7.6204
Ca Pt Ac Pm
2 4 2 2
Cartesian
6.6627 8.4624 0.7167 Ca
2.2209 0.7502 5.9969 Ca
4.4418 6.5982 6.3469 Pt
4.4418 7.9504 2.4631 Pt
4.4418 2.6144 0.3667 Pt
4.4418 1.2622 4.2505 Pt
2.2209 2.5719 2.5739 Ac
6.6627 6.6407 4.1397 Ac
4.4418 5.5859 0.5540 Pm
4.4418 3.6267 6.1597 Pm
```

Values from the calculation:
total magnetization	0.00	μB/f.u.
SG	No. 12
E	-27.48	eV per formula unit
N(E_F)	6.877	states/eV per cell
energy of formation	-0.908	eV per atom

***

Record 2
# CaAcPm2S4

CaAcPm2S4 after structural relaxation (GGA-PBE, the Alexandria database).

POSCAR file:
```
CaAcPm2S4
1.0
4.0834 0.0000 0.0000
0.0000 7.1389 -0.1699
0.0000 2.4859 6.6759
S Ac Pm Ca
4 1 2 1
Cartesian
2.0417 3.6077 4.9094 S
4.0834 2.3748 1.7222 S
2.0417 6.0171 1.5966 S
0.0001 7.2500 4.7838 S
2.0417 3.5695 -0.0850 Ac
2.0417 1.2429 3.3380 Pm
0.0000 2.4859 6.6759 Pm
0.0000 4.8124 3.2530 Ca
```

Values from the calculation:
total magnetization	0.00	μB/f.u.
SG	No. 10
formation energy from raw total energies	-2.02	eV per atom
E	-48.30	eV per formula unit
N(E_F)	3.092	states/eV per cell

***

Record 3
# CaAc3Pm2S6

CaAc3Pm2S6 after structural relaxation (GGA-PBE, the Alexandria database).

POSCAR file:
```
CaAc3Pm2S6
1.0
-2.0552 6.3984 -2.6020
-4.0063 -3.3202 4.9859
5.5496 2.1250 4.1487
Ac Ca S Pm
3 1 6 2
Cartesian
0.3929 5.8335 0.7430 Ac
-0.2560 2.6016 3.2663 Ac
-0.9048 -0.6303 5.7896 Ac
0.0000 0.0000 0.0000 Ca
2.7443 2.4139 3.7974 S
-0.0050 5.5734 3.7547 S
-0.6476 2.3722 6.2541 S
-0.5069 -0.3702 2.7779 S
-3.2563 2.7893 2.7352 S
0.1357 2.8310 0.2785 S
-3.3562 -0.0819 2.4575 Pm
-2.7054 3.1600 -0.0737 Pm
```

Values from the calculation:
total magnetization	0.00	μB/f.u.
SG	No. 12
formation energy from raw total energies	-2.02	eV per atom
E	-72.80	eV per formula unit
N(E_F)	5.525	states/eV per cell